1.
Here is an optimized crystal structure of KCdPb2 from the Alexandria database. Energies are from PBE.

Results
Energy of formation   -0.025 eV/atom
V   32.91 Å³ per atom
Calculated total energy   -0.088 Ha/atom

```
KCdPb2
1.0
5.4255 -1.8099 0.0000
5.4255 1.8099 0.0000
-1.0184 0.0000 6.7021
K Cd Pb
1 1 2
Direct
0.0000 0.0000 0.0000
0.2445 0.2445 0.7025
0.4988 0.4988 0.5153
0.7592 0.7592 0.2830
```


2.
Here is an optimized crystal structure of V3HRh from the Alexandria database. Energies are from PBE.

Results
V   20.91 Å³ per atom
Calculated total energy   -0.223 Ha/atom

```
V3HRh
1.0
4.7111 0.0000 0.0000
0.0000 4.7111 0.0000
0.0000 0.0000 4.7111
V H Rh
3 1 1
Direct
0.0000 0.0000 0.5000
0.0000 0.5000 0.0000
0.5000 0.0000 0.0000
0.5000 0.5000 0.5000
0.0000 0.0000 0.0000
```


> Look up the calculated total energy of the second one.

-0.223 Ha/atom


> Which of these has the lowest V?

V3HRh


> What is the formula in the first record?

KCdPb2